{
  "formula": "ZrIn2As",
  "functional": "PBEsol",
  "state": "relaxed",
  "formation_enthalpy_0k_ev_per_atom": -0.001,
  "dft_energy_ev_per_atom": -5.04,
  "space_group": "No. 166",
  "lattice_angstrom": [[3.379, 0.000, 0.000], [1.689, 2.926, 0.000], [1.689, 0.975, 8.885]],
  "species": ["As", "Zr", "In", "In"],
  "fractional_positions": [[0.000, 0.000, 0.000], [0.500, 0.500, 0.500], [0.256, 0.256, 0.231], [0.744, 0.744, 0.769]]
}